(1)
Below is a relaxed structure of HgTe2IrI, with properties calculated at the GGA-PBEsol level.

Properties
Electronic total energy ... -2.17 eV per atom
Formation energy from raw total energies ... 1670 meV per atom
Crystal system ... tetragonal
N(E_F) ... 9.1 states/eV/f.u.
Spin magnetization ... 2.75 μB per formula unit
Space group ... P4/mmm

Cell lengths 5.447, 5.447, 5.496 Å; angles 90.00, 90.00, 90.00 degrees
Sites, in units of the cell vectors:
Hg 0.000 0.000 0.000
Te 0.000 0.500 0.000
Te 0.500 0.000 0.000
Ir 0.500 0.500 0.500
I 0.000 0.000 0.500

---

(2)
Below is a relaxed structure of KHgI3, with properties calculated at the GGA-PBEsol level.

Properties
Electronic total energy ... -2.15 eV per atom
Formation energy from raw total energies ... -748 meV per atom
Crystal system ... orthorhombic
N(E_F) ... 0.0 states/eV/f.u.
Spin magnetization ... 0.00 μB per formula unit
Space group ... Pna2_1

Cell lengths 8.454, 8.331, 11.427 Å; angles 90.00, 90.00, 90.00 degrees
Sites, in units of the cell vectors:
K 0.122 0.086 0.000
K 0.378 0.586 0.500
K 0.622 0.414 0.000
K 0.878 0.914 0.500
Hg 0.207 0.658 0.151
Hg 0.293 0.158 0.651
Hg 0.707 0.842 0.151
Hg 0.793 0.342 0.651
I 0.046 0.307 0.493
I 0.196 0.853 0.700
I 0.221 0.891 0.322
I 0.279 0.391 0.822
I 0.304 0.353 0.200
I 0.454 0.807 0.993
I 0.546 0.193 0.493
I 0.696 0.647 0.700
I 0.721 0.609 0.322
I 0.779 0.109 0.822
I 0.804 0.147 0.200
I 0.954 0.693 0.993

---

(3)
Below is a relaxed structure of K2Hg2I, with properties calculated at the GGA-PBEsol level.

Properties
Electronic total energy ... -1.69 eV per atom
Formation energy from raw total energies ... -661 meV per atom
Crystal system ... tetragonal
N(E_F) ... 1.6 states/eV/f.u.
Spin magnetization ... 0.00 μB per formula unit
Space group ... I4/mmm

Cell lengths 4.189, 4.189, 19.820 Å; angles 90.00, 90.00, 90.00 degrees
Sites, in units of the cell vectors:
K 0.000 0.000 0.103
K 0.000 0.000 0.897
K 0.500 0.500 0.397
K 0.500 0.500 0.603
Hg 0.000 0.500 0.250
Hg 0.000 0.500 0.750
Hg 0.500 0.000 0.250
Hg 0.500 0.000 0.750
I 0.000 0.000 0.500
I 0.500 0.500 0.000

---

(4)
Below is a relaxed structure of KHgTe2I, with properties calculated at the GGA-PBEsol level.

Properties
Electronic total energy ... -1.54 eV per atom
Formation energy from raw total energies ... 562 meV per atom
Crystal system ... tetragonal
N(E_F) ... 3.7 states/eV/f.u.
Spin magnetization ... 4.04 μB per formula unit
Space group ... P4/mmm

Cell lengths 6.457, 6.457, 6.280 Å; angles 90.00, 90.00, 90.00 degrees
Sites, in units of the cell vectors:
K 0.000 0.000 0.000
Hg 0.500 0.500 0.500
Te 0.000 0.500 0.000
Te 0.500 0.000 0.000
I 0.000 0.000 0.500

---

(5)
Below is a relaxed structure of LaHgI3, with properties calculated at the GGA-PBEsol level.

Properties
Electronic total energy ... -3.26 eV per atom
Formation energy from raw total energies ... -1013 meV per atom
Crystal system ... cubic
N(E_F) ... 0.0 states/eV/f.u.
Spin magnetization ... 0.00 μB per formula unit
Space group ... Pm-3m

Cell lengths 6.195, 6.195, 6.195 Å; angles 90.00, 90.00, 90.00 degrees
Sites, in units of the cell vectors:
La 0.000 0.000 0.000
Hg 0.500 0.500 0.500
I 0.000 0.000 0.500
I 0.000 0.500 0.000
I 0.500 0.000 0.000

---

(6)
Below is a relaxed structure of LaHgIO2, with properties calculated at the GGA-PBEsol level.

Properties
Electronic total energy ... -4.11 eV per atom
Formation energy from raw total energies ... -478 meV per atom
Crystal system ... tetragonal
N(E_F) ... 1.3 states/eV/f.u.
Spin magnetization ... 0.00 μB per formula unit
Space group ... P4/mmm

Cell lengths 4.467, 4.467, 5.368 Å; angles 90.00, 90.00, 90.00 degrees
Sites, in units of the cell vectors:
La 0.000 0.000 0.000
Hg 0.500 0.500 0.500
I 0.500 0.500 0.000
O 0.000 0.500 0.500
O 0.500 0.000 0.500

---

Which of these has the lowest electronic total energy?
LaHgIO2